1.
VASP calculation (PBE) on crystalline LiPm at its relaxed geometry.

Computed properties:
The calculation puts the total magnetic moment at 0.00 μB per formula unit. The space group is No. 194.

Lattice parameters (Å, degrees): 3.5209 3.5209 9.7112 90.00 90.00 120.00
Closest atoms and distances in Å follow each position.
Sites, in units of the cell vectors:
Pm 0.0000 0.0000 0.5000  6 Li 3.17, 6 Pm 3.52
Pm 0.0000 0.0000 0.0000  6 Li 3.17, 6 Pm 3.52
Li 0.3333 0.6667 0.7500  6 Pm 3.17, 6 Li 3.52
Li 0.6667 0.3333 0.2500  6 Pm 3.17, 6 Li 3.52


2.
VASP calculation (PBE) on crystalline NdZnInSe3 at its relaxed geometry.

Computed properties:
The calculation puts the total magnetic moment at 0.00 μB per formula unit. The space group is No. 62.

Lattice parameters (Å, degrees): 11.8407 4.3333 12.4380 90.00 90.00 90.00
Closest atoms and distances in Å follow each position.
Sites, in units of the cell vectors:
Se 0.7200 0.2500 0.6966  2 Zn 2.56
Se 0.7800 0.7500 0.1966  2 Zn 2.56
Se 0.1038 0.7500 0.5595  1 Zn 2.47
Se 0.2200 0.2500 0.8034  2 Zn 2.56
Se 0.3962 0.2500 0.0595  1 Zn 2.47
Se 0.4562 0.7500 0.6562  1 Zn 2.47
Se 0.9562 0.7500 0.8438  1 Zn 2.47
Se 0.0438 0.2500 0.1562  1 Zn 2.47
Se 0.5438 0.2500 0.3438  1 Zn 2.47
Se 0.6038 0.7500 0.9405  1 Zn 2.47
Se 0.2800 0.7500 0.3034  2 Zn 2.56
Se 0.8962 0.2500 0.4405  1 Zn 2.47
In 0.3306 0.2500 0.4949  5 Se 3.15-3.31, 2 Zn 3.46
In 0.8306 0.2500 0.0051  5 Se 3.15-3.31, 2 Zn 3.46
In 0.1694 0.7500 0.9949  5 Se 3.15-3.31, 2 Zn 3.46
In 0.6694 0.7500 0.5051  5 Se 3.15-3.31, 2 Zn 3.46
Zn 0.7473 0.2500 0.3013  4 Se 2.47-2.56
Zn 0.2527 0.7500 0.6987  4 Se 2.47-2.56
Zn 0.2473 0.2500 0.1987  4 Se 2.47-2.56
Zn 0.7527 0.7500 0.8013  4 Se 2.47-2.56
Nd 0.4794 0.2500 0.8229  7 Se 3.00-3.25
Nd 0.5206 0.7500 0.1771  7 Se 3.00-3.25
Nd 0.0206 0.7500 0.3229  7 Se 3.00-3.25
Nd 0.9794 0.2500 0.6771  7 Se 3.00-3.25


3.
VASP calculation (PBE) on crystalline BaTaRe at its relaxed geometry.

Computed properties:
The calculation puts the total magnetic moment at 0.49 μB per formula unit. The space group is No. 216.

Lattice parameters (Å, degrees): 4.6795 4.6795 4.6795 60.00 60.00 60.00
Closest atoms and distances in Å follow each position.
Sites, in units of the cell vectors:
Re 0.2500 0.2500 0.2500  4 Ba 2.87
Ta 0.7500 0.7500 0.7500  4 Ba 2.87
Ba 0.0000 0.0000 0.0000  4 Ta 2.87, 4 Re 2.87


4.
VASP calculation (PBE) on crystalline CsAuBrCl2 at its relaxed geometry.

Computed properties:
The space group is No. 139.

Lattice parameters (Å, degrees): 7.8584 7.8584 7.8584 122.19 122.19 86.25
Closest atoms and distances in Å follow each position.
Sites, in units of the cell vectors:
Au 0.5000 0.5000 0.0000  2 Br 2.46
Au 0.0000 0.0000 0.0000  4 Cl 2.37
Br 0.2857 0.2857 0.0000  1 Au 2.46
Br 0.7143 0.7143 0.0000  1 Au 2.46
Cs 0.2500 0.7500 0.5000  4 Br 3.82, 8 Cl 3.94
Cs 0.7500 0.2500 0.5000  4 Br 3.82, 8 Cl 3.94
Cl 0.2204 0.2204 0.4409  1 Au 2.37
Cl 0.7796 0.2204 0.0000  1 Au 2.37
Cl 0.2204 0.7796 0.0000  1 Au 2.37
Cl 0.7796 0.7796 0.5591  1 Au 2.37


5.
VASP calculation (PBE) on crystalline LuTlCoOs at its relaxed geometry.

Computed properties:
The calculation puts the total magnetic moment at 2.82 μB per formula unit. The space group is No. 216.

Lattice parameters (Å, degrees): 4.6638 4.6638 4.6638 60.00 60.00 60.00
Closest atoms and distances in Å follow each position.
Sites, in units of the cell vectors:
Os 0.5000 0.5000 0.5000  4 Lu 2.86, 4 Co 2.86
Lu 0.2500 0.2500 0.2500  4 Os 2.86, 4 Tl 2.86
Co 0.7500 0.7500 0.7500  4 Os 2.86, 4 Tl 2.86
Tl 0.0000 0.0000 0.0000  4 Co 2.86, 4 Lu 2.86


6.
VASP calculation (PBE) on crystalline YAl6Ag at its relaxed geometry.

Computed properties:
The calculation puts the total magnetic moment at 0.00 μB per formula unit. The space group is No. 187.

Lattice parameters (Å, degrees): 6.1078 6.1078 4.6164 90.00 90.00 120.00
Closest atoms and distances in Å follow each position.
Sites, in units of the cell vectors:
Al 0.4845 0.5155 0.0000  6 Al 2.77-2.85, 2 Y 3.01, 2 Ag 3.06
Al 0.4845 0.9690 0.0000  6 Al 2.77-2.85, 2 Y 3.01, 2 Ag 3.06
Al 0.1692 0.3383 0.5000  8 Al 2.85-3.10, 2 Ag 2.92, 2 Y 3.05
Al 0.1692 0.8308 0.5000  8 Al 2.85-3.10, 2 Ag 2.92, 2 Y 3.05
Al 0.0310 0.5155 0.0000  6 Al 2.77-2.85, 2 Y 3.01, 2 Ag 3.06
Al 0.6617 0.8308 0.5000  8 Al 2.85-3.10, 2 Ag 2.92, 2 Y 3.05
Y 0.6667 0.3333 0.5000  12 Al 3.01-3.05
Ag 0.0000 0.0000 0.0000  12 Al 2.92-3.06


7.
VASP calculation (PBE) on crystalline ScCuGeTeS2 at its relaxed geometry.

Computed properties:
The calculation puts the total magnetic moment at 0.00 μB per formula unit. The space group is No. 63.

Lattice parameters (Å, degrees): 6.8374 6.8374 10.4130 90.00 90.00 148.16
Closest atoms and distances in Å follow each position.
Sites, in units of the cell vectors:
S 0.8724 0.1276 0.4320  1 Cu 2.30
S 0.1276 0.8724 0.9320  1 Cu 2.30
S 0.1276 0.8724 0.5680  1 Cu 2.30
S 0.8724 0.1276 0.0680  1 Cu 2.30
Cu 0.9721 0.0279 0.2500  2 S 2.30
Cu 0.0279 0.9721 0.7500  2 S 2.30
Te 0.3888 0.6112 0.7500  2 Cu 2.62
Te 0.6112 0.3888 0.2500  2 Cu 2.62
Sc 0.5000 0.5000 0.5000  4 S 2.61
Sc 0.5000 0.5000 0.0000  4 S 2.61
Ge 0.6886 0.3114 0.7500  4 S 2.78, 2 Cu 2.83
Ge 0.3114 0.6886 0.2500  4 S 2.78, 2 Cu 2.83


8.
VASP calculation (PBE) on crystalline Ba2NaOsN6 at its relaxed geometry.

Computed properties:
The calculation puts the total magnetic moment at 5.01 μB per formula unit. The space group is No. 2.

Lattice parameters (Å, degrees): 5.9933 6.0085 6.0095 60.71 60.38 60.28
Closest atoms and distances in Å follow each position.
Sites, in units of the cell vectors:
Na 0.0000 0.5000 0.5000  6 N 2.34
N 0.7227 0.8097 0.7384  1 Os 1.93
N 0.7508 0.7593 0.2021  1 Os 1.94
N 0.2492 0.2407 0.7979  1 Os 1.94
N 0.2773 0.1903 0.2616  1 Os 1.93
N 0.7063 0.2469 0.7876  1 Os 1.94
N 0.2937 0.7531 0.2124  1 Os 1.94
Ba 0.7500 0.2504 0.2502  10 N 2.83-3.14
Ba 0.2500 0.7496 0.7498  10 N 2.83-3.14
Os 0.5000 0.0000 0.0000  6 N 1.93-1.94


9.
VASP calculation (PBE) on crystalline LiGaPt2 at its relaxed geometry.

Computed properties:
The calculation puts the total magnetic moment at 0.00 μB per formula unit. The space group is No. 123.

Lattice parameters (Å, degrees): 2.9158 2.9158 6.6556 90.00 90.00 90.00
Closest atoms and distances in Å follow each position.
Sites, in units of the cell vectors:
Pt 0.5000 0.5000 0.2480  4 Ga 2.64, 4 Li 2.66, 4 Pt 2.92
Pt 0.5000 0.5000 0.7520  4 Ga 2.64, 4 Li 2.66, 4 Pt 2.92
Ga 0.0000 0.0000 0.0000  8 Pt 2.64, 4 Ga 2.92
Li 0.0000 0.0000 0.5000  8 Pt 2.66, 4 Li 2.92


10.
VASP calculation (PBE) on crystalline Co16W13 at its relaxed geometry.

Computed properties:
The calculation puts the total magnetic moment at 5.43 μB per formula unit. The space group is No. 217.

Lattice parameters (Å, degrees): 7.9751 7.9751 7.9751 109.47 109.47 109.47
Closest atoms and distances in Å follow each position.
Sites, in units of the cell vectors:
Co 0.0000 0.0000 0.6718  7 W 2.62-2.78, 3 Co 2.64
Co 0.0000 0.6895 0.4143  5 W 2.38-2.59, 1 Co 2.64
Co 0.0000 0.6718 0.0000  7 W 2.62-2.78, 3 Co 2.64
Co 0.5857 0.5857 0.2752  5 W 2.38-2.59, 1 Co 2.64
Co 0.4143 0.0000 0.6895  5 W 2.38-2.59, 1 Co 2.64
Co 0.6895 0.0000 0.4143  5 W 2.38-2.59, 1 Co 2.64
Co 0.5857 0.2752 0.5857  5 W 2.38-2.59, 1 Co 2.64
Co 0.3105 0.3105 0.7248  5 W 2.38-2.59, 1 Co 2.64
Co 0.3282 0.3282 0.3282  7 W 2.62-2.78, 3 Co 2.64
Co 0.3105 0.7248 0.3105  5 W 2.38-2.59, 1 Co 2.64
Co 0.4143 0.6895 0.0000  5 W 2.38-2.59, 1 Co 2.64
Co 0.0000 0.4143 0.6895  5 W 2.38-2.59, 1 Co 2.64
Co 0.7248 0.3105 0.3105  5 W 2.38-2.59, 1 Co 2.64
Co 0.2752 0.5857 0.5857  5 W 2.38-2.59, 1 Co 2.64
Co 0.6718 0.0000 0.0000  7 W 2.62-2.78, 3 Co 2.64
Co 0.6895 0.4143 0.0000  5 W 2.38-2.59, 1 Co 2.64
W 0.7985 0.7985 0.1954  5 Co 2.38-2.59, 3 W 2.54-2.62
W 0.3969 0.0000 0.2015  5 Co 2.38-2.59, 3 W 2.54-2.62
W 0.7985 0.1954 0.7985  5 Co 2.38-2.59, 3 W 2.54-2.62
W 0.1954 0.7985 0.7985  5 Co 2.38-2.59, 3 W 2.54-2.62
W 0.2015 0.0000 0.3969  5 Co 2.38-2.59, 3 W 2.54-2.62
W 0.6031 0.8046 0.6031  5 Co 2.38-2.59, 3 W 2.54-2.62
W 0.0000 0.0000 0.0000  4 Co 2.62
W 0.0000 0.2015 0.3969  5 Co 2.38-2.59, 3 W 2.54-2.62
W 0.0000 0.3969 0.2015  5 Co 2.38-2.59, 3 W 2.54-2.62
W 0.6031 0.6031 0.8046  5 Co 2.38-2.59, 3 W 2.54-2.62
W 0.3969 0.2015 0.0000  5 Co 2.38-2.59, 3 W 2.54-2.62
W 0.8046 0.6031 0.6031  5 Co 2.38-2.59, 3 W 2.54-2.62
W 0.2015 0.3969 0.0000  5 Co 2.38-2.59, 3 W 2.54-2.62


11.
VASP calculation (PBE) on crystalline Nd2PdO4 at its relaxed geometry.

Computed properties:
The calculation puts the total magnetic moment at 0.00 μB per formula unit. The space group is No. 130.

Lattice parameters (Å, degrees): 8.0819 8.0819 6.5335 90.00 90.00 90.00
Closest atoms and distances in Å follow each position.
Sites, in units of the cell vectors:
O 0.2536 0.0700 0.0771  1 Pd 2.07
O 0.2536 0.9300 0.5771  1 Pd 2.07
O 0.7464 0.0700 0.5771  1 Pd 2.07
O 0.7464 0.9300 0.0771  1 Pd 2.07
O 0.7536 0.5700 0.9229  1 Pd 2.07
O 0.5700 0.7536 0.5771  1 Pd 2.07
O 0.9300 0.7464 0.4229  1 Pd 2.07
O 0.9300 0.2536 0.9229  1 Pd 2.07
O 0.4300 0.7536 0.0771  1 Pd 2.07
O 0.0700 0.2536 0.4229  1 Pd 2.07
O 0.5700 0.2464 0.0771  1 Pd 2.07
O 0.7536 0.4300 0.4229  1 Pd 2.07
O 0.0700 0.7464 0.9229  1 Pd 2.07
O 0.4300 0.2464 0.5771  1 Pd 2.07
O 0.2464 0.4300 0.9229  1 Pd 2.07
O 0.2464 0.5700 0.4229  1 Pd 2.07
Nd 0.8204 0.1796 0.2500  6 O 2.38-2.39
Nd 0.6796 0.3204 0.7500  6 O 2.38-2.39
Nd 0.3204 0.3204 0.2500  6 O 2.38-2.39
Nd 0.6796 0.6796 0.2500  6 O 2.38-2.39
Nd 0.3204 0.6796 0.7500  6 O 2.38-2.39
Nd 0.8204 0.8204 0.7500  6 O 2.38-2.39
Nd 0.1796 0.1796 0.7500  6 O 2.38-2.39
Nd 0.1796 0.8204 0.2500  6 O 2.38-2.39
Pd 0.5000 0.0000 0.5630  4 O 2.07
Pd 0.0000 0.5000 0.9370  4 O 2.07
Pd 0.5000 0.0000 0.0630  4 O 2.07
Pd 0.0000 0.5000 0.4370  4 O 2.07


12.
VASP calculation (PBE) on crystalline Sm2Y2I3Br2N at its relaxed geometry.

Computed properties:
The calculation puts the total magnetic moment at 0.01 μB per formula unit. The space group is No. 12.

Lattice parameters (Å, degrees): 9.5171 9.5171 8.5740 101.62 101.62 23.71
Closest atoms and distances in Å follow each position.
Sites, in units of the cell vectors:
Y 0.6287 0.6287 0.0630  1 N 2.35
Y 0.3713 0.3713 0.9370  1 N 2.35
Br 0.1593 0.1593 0.3156  2 Y 2.89, 1 Sm 2.95
Br 0.8407 0.8407 0.6844  2 Y 2.89, 1 Sm 2.95
Sm 0.9992 0.9992 0.1921  2 N 2.56
Sm 0.0008 0.0008 0.8079  2 N 2.56
N 0.5000 0.5000 0.0000  2 Y 2.35, 4 Sm 2.56
I 0.5000 0.5000 0.5000  4 Sm 3.28
I 0.8278 0.8278 0.1800  2 Y 3.08, 1 Sm 3.17
I 0.1722 0.1722 0.8200  2 Y 3.08, 1 Sm 3.17


| no. | final energy (eV per atom) |
| --- | --- |
| 1 | -3.11 |
| 2 | -4.25 |
| 3 | -5.96 |
| 4 | -2.88 |
| 5 | -5.85 |
| 6 | -4.08 |
| 7 | -5.06 |
| 8 | -6.07 |
| 9 | -4.90 |
| 10 | -9.41 |
| 11 | -7.46 |
| 12 | -5.29 |